No. 1
Here is crystalline VPdAu3 at its relaxed geometry from Alexandria. Energies are from PBE.

```
VPdAu3
1.0
4.991 0.000 0.000
0.000 4.991 0.000
0.000 0.000 4.991
V Pd Au
1 1 3
Cartesian
0.000 0.000 0.000
2.495 2.495 2.495
0.000 2.495 2.495
2.495 0.000 2.495
2.495 2.495 0.000
```

crystal system: cubic
DFT formation energy: 0.989 eV/atom
DOS at the Fermi energy: 10.26 states/eV per cell
magnetization: 3.39 Bohr magnetons per cell

No. 2
Here is crystalline VPd2Au at its relaxed geometry from Alexandria. Energies are from PBE.

```
VPd2Au
1.0
1.402 0.809 9.160
-1.402 0.809 9.160
0.000 -1.618 9.160
V Pd Au
1 2 1
Cartesian
0.000 0.000 0.000
0.000 0.000 11.253
0.000 0.000 16.231
0.000 0.000 4.588
```

crystal system: trigonal
DFT formation energy: -0.138 eV/atom
DOS at the Fermi energy: 3.44 states/eV per cell
magnetization: 0.00 Bohr magnetons per cell

No. 3
Here is crystalline VPd3Au4 at its relaxed geometry from Alexandria. Energies are from PBE.

```
VPd3Au4
1.0
-1.451 2.093 11.630
1.451 -2.093 11.630
1.451 2.093 -11.630
V Pd Au
1 3 4
Cartesian
0.000 0.000 0.000
1.451 0.000 6.516
0.000 0.000 11.630
0.000 2.093 5.114
1.451 0.000 3.730
1.451 0.000 9.310
0.000 2.093 2.319
0.000 2.093 7.900
```

crystal system: orthorhombic
DFT formation energy: 0.116 eV/atom
DOS at the Fermi energy: 5.56 states/eV per cell
magnetization: 2.50 Bohr magnetons per cell

No. 4
Here is crystalline VPd2Au5 at its relaxed geometry from Alexandria. Energies are from PBE.

```
VPd2Au5
1.0
5.780 0.000 0.000
0.000 11.565 0.000
0.000 0.000 4.042
V Pd Au
2 4 10
Cartesian
0.000 0.000 0.000
2.890 5.782 0.000
1.411 1.385 2.021
1.479 7.168 2.021
4.301 4.397 2.021
4.369 10.179 2.021
0.000 5.782 0.000
0.024 2.834 0.000
1.422 10.143 2.021
1.468 4.361 2.021
2.866 8.616 0.000
2.890 0.000 0.000
2.914 2.949 0.000
4.313 7.204 2.021
4.358 1.422 2.021
5.756 8.731 0.000
```

crystal system: orthorhombic
DFT formation energy: -0.081 eV/atom
DOS at the Fermi energy: 15.07 states/eV per cell
magnetization: 4.78 Bohr magnetons per cell

No. 5
Here is crystalline V2Pd3Au3 at its relaxed geometry from Alexandria. Energies are from PBE.

```
V2Pd3Au3
1.0
3.578 2.066 2.924
-3.578 2.066 2.924
0.000 -4.132 2.924
V Pd Au
2 3 3
Cartesian
0.000 0.000 2.157
0.000 0.000 6.615
-0.892 -2.586 2.924
-1.793 2.066 2.924
2.686 0.520 2.924
-1.811 0.000 4.386
0.905 -1.568 4.386
0.905 1.568 4.386
```

crystal system: trigonal
DFT formation energy: -0.003 eV/atom
DOS at the Fermi energy: 9.44 states/eV per cell
magnetization: 1.43 Bohr magnetons per cell

No. 6
Here is crystalline VPdAu at its relaxed geometry from Alexandria. Energies are from PBE.

```
VPdAu
1.0
2.408 -4.215 0.000
2.408 4.215 0.000
-1.504 0.000 4.586
V Pd Au
2 2 2
Cartesian
1.281 2.126 3.439
2.032 -2.126 1.146
2.032 3.486 1.146
1.281 -3.486 3.439
2.032 0.738 1.146
1.281 -0.738 3.439
```

crystal system: monoclinic
DFT formation energy: -0.166 eV/atom
DOS at the Fermi energy: 4.32 states/eV per cell
magnetization: 0.00 Bohr magnetons per cell